No. 1
## CaAcNd2In4 (PBE-GGA)

Data for an optimized crystal structure of CaAcNd2In4.

Structure (extended XYZ):
```
8
Lattice="-3.920 3.386 1.976 -5.036 0.062 -2.319 -5.736 -5.418 5.684" Properties=species:S:1:pos:R:3 pbc="T T T"
In -8.359 -3.405 4.807
In -10.002 0.951 1.862
In -4.690 -2.922 3.480
In -6.333 1.435 0.535
Nd -3.703 -0.563 1.397
Nd -10.990 -1.407 3.944
Ca -7.346 -0.985 2.671
Ac 0.000 0.000 0.000
```

Crystal system: trigonal
Total DFT energy (no corrections): -3.771 eV per atom
ρ: 6.89 Mg/m³
Calculated volume: 244 Å³ per cell

---

No. 2
## Ca2AcNdIn4 (PBE-GGA)

Data for an optimized crystal structure of Ca2AcNdIn4.

Structure (extended XYZ):
```
8
Lattice="-3.667 -4.161 -0.320 0.830 -4.663 2.903 -5.575 0.600 7.872" Properties=species:S:1:pos:R:3 pbc="T T T"
In -4.603 -7.473 5.258
In -2.527 -5.396 2.685
In -5.885 -2.828 7.771
In -3.809 -0.751 5.197
Ca -6.300 -6.175 7.828
Ca -2.112 -2.049 2.627
Nd -4.206 -4.112 5.228
Ac 0.000 0.000 0.000
```

Crystal system: trigonal
Total DFT energy (no corrections): -3.430 eV per atom
ρ: 6.21 Mg/m³
Calculated volume: 244 Å³ per cell

---

No. 3
## CaAcInPd (PBE-GGA)

Data for an optimized crystal structure of CaAcInPd.

Structure (extended XYZ):
```
4
Lattice="5.450 0.000 0.000 2.725 4.720 0.000 2.725 1.573 4.450" Properties=species:S:1:pos:R:3 pbc="T T T"
Pd 0.000 0.000 0.000
In 5.450 3.147 2.225
Ac 8.175 4.720 3.338
Ca 2.725 1.573 1.113
```

Crystal system: cubic
Total DFT energy (no corrections): -4.005 eV per atom
ρ: 7.08 Mg/m³
Calculated volume: 114 Å³ per cell